Entry i
Here is SiPtBr2 after structural relaxation from Alexandria via LeMat-Bulk. Energies are from PBE.

Cell lengths 3.8553, 3.8553, 11.6424 Å; angles 90.00, 90.00, 90.00 degrees
Closest atoms and distances in Å follow each position.
Space group I-4m2 (No. 119)
One atom of each set of equivalent atoms:
Si (0.0000, 0.0000, 0.0000) [2 per cell]  4 Br 2.73
Pt (0.0000, 0.5000, 0.2500) [2 per cell]  4 Br 2.73
Br (0.0000, 0.0000, 0.5000) [2 per cell]  4 Si 2.73
Br (0.0000, 0.5000, 0.7500) [2 per cell]  4 Pt 2.73

total magnetic moment = 0.00 Bohr magnetons per cell
V = 87 Å³/f.u.

---

Entry ii
Here is SiPtBr2 after structural relaxation from Alexandria via LeMat-Bulk. Energies are from PBE.

Cell lengths 6.8696, 6.8696, 6.8696 Å; angles 90.00, 90.00, 90.00 degrees
Closest atoms and distances in Å follow each position.
Space group Fm-3m (No. 225)
One atom of each set of equivalent atoms:
Si (0.0000, 0.0000, 0.0000) [4 per cell]  8 Br 2.97
Pt (0.0000, 0.0000, 0.5000) [4 per cell]  8 Br 2.97
Br (0.2500, 0.2500, 0.2500) [8 per cell]  4 Pt 2.97, 4 Si 2.97

total magnetic moment = 0.00 Bohr magnetons per cell
V = 81 Å³/f.u.

---

Least stable structure: entry ii

---

Entry i
Here is SiPtBr2 after structural relaxation from Alexandria via LeMat-Bulk. Energies are from PBE.

Cell lengths 3.4799, 3.6906, 15.1741 Å; angles 90.00, 90.00, 90.00 degrees
Closest atoms and distances in Å follow each position.
Space group Immm (No. 71)
One atom of each set of equivalent atoms:
Si (0.0000, 0.0000, 0.0000) [2 per cell]  4 Pt 2.54
Pt (0.0000, 0.0000, 0.5000) [2 per cell]  4 Si 2.54
Br (0.0000, 0.5000, 0.3501) [4 per cell]  2 Si 2.86, 2 Pt 2.93

total magnetic moment = 0.00 Bohr magnetons per cell
V = 97 Å³/f.u.

---

Entry ii
Here is SiPtBr2 after structural relaxation from Alexandria via LeMat-Bulk. Energies are from PBE.

Cell lengths 6.8364, 6.8364, 6.8364 Å; angles 90.00, 90.00, 90.00 degrees
Closest atoms and distances in Å follow each position.
Space group F-43m (No. 216)
One atom of each set of equivalent atoms:
Si (0.0000, 0.0000, 0.0000) [4 per cell]  4 Br 2.96, 4 Pt 2.96
Pt (0.2500, 0.2500, 0.7500) [4 per cell]  4 Br 2.96, 4 Si 2.96
Br (0.0000, 0.0000, 0.5000) [4 per cell]  4 Br 2.96, 4 Pt 2.96
Br (0.2500, 0.2500, 0.2500) [4 per cell]  4 Br 2.96, 4 Si 2.96

total magnetic moment = 0.00 Bohr magnetons per cell
V = 80 Å³/f.u.

---

Entry iii
Here is SiPtBr2 after structural relaxation from Alexandria via LeMat-Bulk. Energies are from PBE.

Cell lengths 3.5895, 3.5895, 26.1412 Å; angles 90.00, 90.00, 120.00 degrees
Closest atoms and distances in Å follow each position.
Space group R3m (No. 160, hexagonal axes)
One atom of each set of equivalent atoms:
Si (0.0000, 0.0000, 0.0000) [3 per cell]  3 Pt 2.38
Pt (0.0000, 0.0000, 0.7113) [3 per cell]  3 Si 2.38
Br (0.0000, 0.0000, 0.2614) [3 per cell]  3 Si 2.80
Br (0.0000, 0.0000, 0.4465) [3 per cell]  3 Pt 2.74

total magnetic moment = 0.00 Bohr magnetons per cell
V = 97 Å³/f.u.

---

Entry iv
Here is SiPtBr2 after structural relaxation from Alexandria via LeMat-Bulk. Energies are from PBE.

Cell lengths 4.7794, 4.7794, 16.6257 Å; angles 90.00, 90.00, 90.00 degrees
Closest atoms and distances in Å follow each position.
Space group I-42d (No. 122)
One atom of each set of equivalent atoms:
Si (0.0000, 0.0000, 0.0000) [4 per cell]  4 Br 2.70
Pt (0.0000, 0.0000, 0.5000) [4 per cell]  4 Br 2.66
Br (0.2417, 0.2500, 0.6250) [8 per cell]  2 Pt 2.66, 2 Si 2.70

total magnetic moment = 0.00 Bohr magnetons per cell
V = 95 Å³/f.u.

---

Least stable structure: entry ii

---

Entry i
Here is SiPt2Br after structural relaxation from Alexandria via LeMat-Bulk. Energies are from PBE.

Cell lengths 3.1275, 3.1275, 7.0922 Å; angles 90.00, 90.00, 90.00 degrees
Closest atoms and distances in Å follow each position.
Space group P4/mmm (No. 123)
One atom of each set of equivalent atoms:
Si (0.0000, 0.0000, 0.0000) [1 per cell]  8 Pt 2.59
Pt (0.5000, 0.5000, 0.1892) [2 per cell]  4 Si 2.59, 1 Pt 2.68
Br (0.0000, 0.0000, 0.5000) [1 per cell]  8 Pt 3.12, 4 Br 3.13

total magnetic moment = 0.00 Bohr magnetons per cell
V = 69 Å³/f.u.

---

Entry ii
Here is SiPt2Br after structural relaxation from Alexandria via LeMat-Bulk. Energies are from PBE.

Cell lengths 2.7655, 3.9230, 8.1391 Å; angles 90.00, 90.00, 90.00 degrees
Closest atoms and distances in Å follow each position.
Space group Pmm2 (No. 25)
One atom of each set of equivalent atoms:
Si (0.0000, 0.0000, 0.0000) [1 per cell]  5 Pt 2.29-2.46
Pt (0.0000, 0.0000, 0.7188) [1 per cell]  1 Si 2.29
Pt (0.5000, 0.5000, 0.9352) [1 per cell]  4 Si 2.46
Br (0.5000, 0.5000, 0.4472) [1 per cell]  2 Br 2.77

total magnetic moment = 0.00 Bohr magnetons per cell
V = 88 Å³/f.u.

---

Entry iii
Here is SiPt2Br after structural relaxation from Alexandria via LeMat-Bulk. Energies are from PBE.

Cell lengths 3.5847, 3.5847, 11.8678 Å; angles 90.00, 90.00, 90.00 degrees
Closest atoms and distances in Å follow each position.
Space group I-4m2 (No. 119)
One atom of each set of equivalent atoms:
Si (0.0000, 0.0000, 0.0000) [2 per cell]  4 Pt 2.53
Pt (0.0000, 0.0000, 0.5000) [2 per cell]  4 Si 2.53
Pt (0.0000, 0.5000, 0.2500) [2 per cell]  4 Br 2.53
Br (0.0000, 0.5000, 0.7500) [2 per cell]  4 Pt 2.53

total magnetic moment = 0.00 Bohr magnetons per cell
V = 76 Å³/f.u.

---

Entry iv
Here is SiPt2Br after structural relaxation from Alexandria via LeMat-Bulk. Energies are from PBE.

Cell lengths 3.6642, 5.6982, 7.2354 Å; angles 90.00, 90.00, 90.00 degrees
Closest atoms and distances in Å follow each position.
Space group Cmmm (No. 65)
One atom of each set of equivalent atoms:
Si (0.0000, 0.0000, 0.0000) [2 per cell]  4 Pt 2.33
Pt (0.0000, 0.5000, 0.1993) [4 per cell]  2 Si 2.33
Br (0.0000, 0.0000, 0.5000) [2 per cell]  4 Pt 2.84

total magnetic moment = 0.00 Bohr magnetons per cell
V = 76 Å³/f.u.

---

Least stable structure: entry iii

---

Entry i
Here is SiPt2Br after structural relaxation from Alexandria via LeMat-Bulk. Energies are from PBE.

Cell lengths 4.4391, 4.4391, 3.4347 Å; angles 90.00, 90.00, 90.00 degrees
Closest atoms and distances in Å follow each position.
Space group P4/mmm (No. 123)
One atom of each set of equivalent atoms:
Si (0.0000, 0.0000, 0.0000) [1 per cell]  8 Pt 2.81, 4 Br 3.14
Pt (0.0000, 0.5000, 0.5000) [2 per cell]  4 Br 2.81, 4 Si 2.81, 4 Pt 3.14
Br (0.5000, 0.5000, 0.0000) [1 per cell]  8 Pt 2.81, 4 Si 3.14

total magnetic moment = 0.00 Bohr magnetons per cell
V = 68 Å³/f.u.

---

Entry ii
Here is SiPt2Br after structural relaxation from Alexandria via LeMat-Bulk. Energies are from PBE.

Cell lengths 3.3991, 3.6555, 6.5577 Å; angles 90.00, 90.14, 90.00 degrees
Closest atoms and distances in Å follow each position.
Space group Pm (No. 6)
One atom of each set of equivalent atoms:
Si (0.0000, 0.0000, 0.0000) [1 per cell]  6 Pt 2.38-2.53
Pt (0.4995, 0.0000, 0.7460) [1 per cell]  2 Si 2.38, 2 Br 2.59
Pt (0.4986, 0.5000, 0.0632) [1 per cell]  4 Si 2.53, 1 Br 2.64, 2 Pt 2.77
Br (0.5046, 0.5000, 0.4657) [1 per cell]  3 Pt 2.59-2.64

total magnetic moment = 0.00 Bohr magnetons per cell
V = 81 Å³/f.u.

---

Least stable structure: entry i

---

Entry i
Here is SiPt3Br after structural relaxation from Alexandria via LeMat-Bulk. Energies are from PBE.

Cell lengths 4.6142, 4.6142, 4.6142 Å; angles 90.00, 90.00, 90.00 degrees
Closest atoms and distances in Å follow each position.
Space group Pm-3m (No. 221)
One atom of each set of equivalent atoms:
Si (0.0000, 0.0000, 0.0000) [1 per cell]  6 Pt 2.31
Pt (0.0000, 0.0000, 0.5000) [3 per cell]  2 Si 2.31
Br (0.5000, 0.5000, 0.5000) [1 per cell]  12 Pt 3.26

total magnetic moment = 0.00 Bohr magnetons per cell
V = 98 Å³/f.u.

---

Entry ii
Here is SiPt3Br after structural relaxation from Alexandria via LeMat-Bulk. Energies are from PBE.

Cell lengths 4.7714, 4.7714, 4.7714 Å; angles 90.00, 90.00, 90.00 degrees
Closest atoms and distances in Å follow each position.
Space group Pm-3m (No. 221)
One atom of each set of equivalent atoms:
Si (0.0000, 0.0000, 0.0000) [1 per cell]  12 Pt 3.37
Pt (0.0000, 0.5000, 0.5000) [3 per cell]  2 Br 2.39
Br (0.5000, 0.5000, 0.5000) [1 per cell]  6 Pt 2.39

total magnetic moment = 0.00 Bohr magnetons per cell
V = 109 Å³/f.u.

---

Least stable structure: entry ii